Below is HfZnMo2Pt after structural relaxation, with properties calculated at the PBE level.

Cell and atoms, written as POSCAR:
```
HfZnMo2Pt
1.0
4.565 0.000 0.000
0.000 4.565 0.000
0.000 0.000 4.563
Hf Zn Mo Pt
1 1 2 1
Direct
0.000 0.000 0.000 Hf
0.500 0.500 0.500 Zn
0.000 0.500 0.500 Mo
0.500 0.000 0.500 Mo
0.500 0.500 0.000 Pt
```

Results
Total DFT energy (no corrections) = -6.826 eV per atom
V = 95 Å³ per cell
Formation enthalpy at 0 K = 0.960 eV per atom

***

Below is HfZrMoPt after structural relaxation, with properties calculated at the PBE level.

Cell and atoms, written as POSCAR:
```
HfZrMoPt
1.0
3.358 0.000 0.000
0.000 3.358 0.000
0.000 0.000 6.545
Hf Zr Mo Pt
1 1 1 1
Direct
0.000 0.000 0.000 Hf
0.000 0.000 0.514 Zr
0.500 0.500 0.759 Mo
0.500 0.500 0.252 Pt
```

Results
Total DFT energy (no corrections) = -9.469 eV per atom
Distance to the lowest polymorph of the same formula = 0.0 meV per atom
V = 74 Å³ per cell
Formation enthalpy at 0 K = -0.626 eV per atom

***

Below is HfZrMoPt after structural relaxation, with properties calculated at the PBE level.

Cell and atoms, written as POSCAR:
```
HfZrMoPt
1.0
6.638 0.000 0.000
0.000 6.638 0.000
0.000 0.000 6.638
Hf Zr Mo Pt
4 4 4 4
Direct
0.000 0.000 0.000 Hf
0.000 0.500 0.500 Hf
0.500 0.000 0.500 Hf
0.500 0.500 0.000 Hf
0.000 0.000 0.500 Zr
0.000 0.500 0.000 Zr
0.500 0.000 0.000 Zr
0.500 0.500 0.500 Zr
0.250 0.250 0.250 Mo
0.250 0.750 0.750 Mo
0.750 0.250 0.750 Mo
0.750 0.750 0.250 Mo
0.250 0.250 0.750 Pt
0.250 0.750 0.250 Pt
0.750 0.250 0.250 Pt
0.750 0.750 0.750 Pt
```

Results
Total DFT energy (no corrections) = -9.444 eV per atom
Distance to the lowest polymorph of the same formula = 25.8 meV per atom
V = 292 Å³ per cell
Formation enthalpy at 0 K = -0.600 eV per atom

***

Below is PuHf2Mo after structural relaxation, with properties calculated at the PBE level.

Cell and atoms, written as POSCAR:
```
PuHf2Mo
1.0
3.177 0.000 0.000
-1.588 2.751 0.000
0.000 0.000 30.885
Pu Hf Mo
3 6 3
Direct
0.000 0.000 0.000 Pu
0.333 0.667 0.667 Pu
0.667 0.333 0.333 Pu
0.000 0.000 0.100 Hf
0.000 0.000 0.900 Hf
0.333 0.667 0.567 Hf
0.333 0.667 0.766 Hf
0.667 0.333 0.234 Hf
0.667 0.333 0.433 Hf
0.000 0.000 0.500 Mo
0.333 0.667 0.167 Mo
0.667 0.333 0.833 Mo
```

Results
Total DFT energy (no corrections) = -10.884 eV per atom
Distance to the lowest polymorph of the same formula = 318.5 meV per atom
V = 270 Å³ per cell
Formation enthalpy at 0 K = 0.383 eV per atom

***

Below is PuHfMo after structural relaxation, with properties calculated at the PBE level.

Cell and atoms, written as POSCAR:
```
PuHfMo
1.0
3.344 0.000 0.000
0.000 3.344 0.000
0.000 0.000 10.809
Pu Hf Mo
2 2 2
Direct
0.000 0.000 0.000 Pu
0.500 0.500 0.500 Pu
0.000 0.000 0.306 Hf
0.500 0.500 0.806 Hf
0.000 0.000 0.653 Mo
0.500 0.500 0.153 Mo
```

Results
Total DFT energy (no corrections) = -11.533 eV per atom
V = 121 Å³ per cell
Formation enthalpy at 0 K = 0.172 eV per atom

***

Below is PuHf2Mo after structural relaxation, with properties calculated at the PBE level.

Cell and atoms, written as POSCAR:
```
PuHf2Mo
1.0
6.877 0.000 0.000
0.000 6.877 0.000
0.000 0.000 6.877
Pu Hf Mo
4 8 4
Direct
0.000 0.000 0.000 Pu
0.000 0.500 0.500 Pu
0.500 0.000 0.500 Pu
0.500 0.500 0.000 Pu
0.250 0.250 0.250 Hf
0.250 0.250 0.750 Hf
0.250 0.750 0.250 Hf
0.250 0.750 0.750 Hf
0.750 0.250 0.250 Hf
0.750 0.250 0.750 Hf
0.750 0.750 0.250 Hf
0.750 0.750 0.750 Hf
0.000 0.000 0.500 Mo
0.000 0.500 0.000 Mo
0.500 0.000 0.000 Mo
0.500 0.500 0.500 Mo
```

Results
Total DFT energy (no corrections) = -11.080 eV per atom
Distance to the lowest polymorph of the same formula = 123.2 meV per atom
V = 325 Å³ per cell
Formation enthalpy at 0 K = 0.188 eV per atom